[1]
DFT (PBEsol) results for an optimized crystal structure of HfSiP2Cl.

abc: 4.5671 4.5671 4.6463
angles: 90.00 90.00 90.00
Closest atoms and distances in Å follow each position.
Atoms (fractional coordinates):
Hf  0.0000  0.0000  0.5000  2 Cl 2.32
P  0.5000  0.0000  0.0000  2 Cl 2.28
P  0.0000  0.5000  0.0000  2 Cl 2.28
Cl  0.0000  0.0000  0.0000  4 P 2.28, 2 Hf 2.32
Si  0.5000  0.5000  0.5000  4 Hf 3.23, 8 P 3.26

Computed properties:
SG: P4/mmm (123)
Crystal system: tetragonal
Formation energy without anion corrections: 5.2 eV per formula unit


[2]
DFT (PBEsol) results for an optimized crystal structure of Zr3Mn.

abc: 4.7874 4.7874 4.7874
angles: 90.00 90.00 90.00
Closest atoms and distances in Å follow each position.
Atoms (fractional coordinates):
Zr  0.0000  0.5000  0.0000  2 Mn 2.39
Zr  0.5000  0.0000  0.0000  2 Mn 2.39
Zr  0.0000  0.0000  0.5000  2 Mn 2.39
Mn  0.0000  0.0000  0.0000  6 Zr 2.39

Computed properties:
SG: Pm-3m (221)
Crystal system: cubic


[3]
DFT (PBEsol) results for an optimized crystal structure of Sc2CoSe.

abc: 3.2574 3.2574 6.3329
angles: 90.00 90.00 90.02
Closest atoms and distances in Å follow each position.
Atoms (fractional coordinates):
Se  0.5000  0.5000  0.5000  8 Sc 2.86, 2 Co 3.17
Co  0.5000  0.5000  0.0000  8 Sc 2.73-2.74
Sc  0.0000  0.0000  0.2328  4 Co 2.73-2.74, 4 Se 2.86, 1 Sc 2.95
Sc  0.0000  0.0000  0.7672  4 Co 2.73-2.74, 4 Se 2.86, 1 Sc 2.95

Computed properties:
SG: P4/mmm (123)
Crystal system: tetragonal
Formation energy without anion corrections: -3.1 eV per formula unit


[4]
DFT (PBEsol) results for an optimized crystal structure of Cd3SF.

abc: 4.6859 4.6859 4.6859
angles: 90.00 90.00 90.00
Closest atoms and distances in Å follow each position.
Atoms (fractional coordinates):
F  0.0000  0.0000  0.0000  6 Cd 2.34
Cd  0.0000  0.0000  0.5000  2 F 2.34
S  0.5000  0.5000  0.5000  12 Cd 3.31
Cd  0.0000  0.5000  0.0000  2 F 2.34
Cd  0.5000  0.0000  0.0000  2 F 2.34

Computed properties:
SG: Pm-3m (221)
Crystal system: cubic
Formation energy without anion corrections: -1.0 eV per formula unit


[5]
DFT (PBEsol) results for an optimized crystal structure of SrLi3Hf.

abc: 5.3632 5.3632 5.3632
angles: 90.00 90.00 90.00
Closest atoms and distances in Å follow each position.
Atoms (fractional coordinates):
Hf  0.0000  0.0000  0.0000  6 Li 2.68
Li  0.0000  0.5000  0.0000  2 Hf 2.68
Li  0.5000  0.0000  0.0000  2 Hf 2.68
Sr  0.5000  0.5000  0.5000  12 Li 3.79
Li  0.0000  0.0000  0.5000  2 Hf 2.68

Computed properties:
SG: Pm-3m (221)
Crystal system: cubic


[6]
DFT (PBEsol) results for an optimized crystal structure of HfAsPd.

abc: 3.9092 6.6354 6.6354
angles: 120.00 90.00 90.00
Closest atoms and distances in Å follow each position.
Atoms (fractional coordinates):
Pd  0.0000  0.0000  0.7370  4 As 2.48-2.62
Pd  0.0000  0.7370  0.0000  4 As 2.48-2.62
Pd  0.0000  0.2630  0.2630  4 As 2.48-2.62
Hf  0.5000  0.4051  0.0000  5 As 2.69-2.81, 2 Pd 2.94
Hf  0.5000  0.5949  0.5949  5 As 2.69-2.81, 2 Pd 2.94
As  0.5000  0.0000  0.0000  6 Pd 2.62, 3 Hf 2.69
As  0.0000  0.3333  0.6667  3 Pd 2.48
Hf  0.5000  0.0000  0.4051  5 As 2.69-2.81, 2 Pd 2.94
As  0.0000  0.6667  0.3333  3 Pd 2.48

Computed properties:
SG: P-62m (189)
Crystal system: hexagonal


[7]
DFT (PBEsol) results for an optimized crystal structure of ErIn5Co.

abc: 4.4816 4.4816 7.3384
angles: 90.00 90.00 90.00
Closest atoms and distances in Å follow each position.
Atoms (fractional coordinates):
In  0.5000  0.0000  0.3054  2 Co 2.66, 1 In 2.86
Er  0.0000  0.0000  0.0000  12 In 3.17
Co  0.0000  0.0000  0.5000  8 In 2.66
In  0.0000  0.5000  0.6946  2 Co 2.66, 1 In 2.86
In  0.0000  0.5000  0.3054  2 Co 2.66, 1 In 2.86
In  0.5000  0.0000  0.6946  2 Co 2.66, 1 In 2.86
In  0.5000  0.5000  0.0000  4 Er 3.17, 8 In 3.17

Computed properties:
SG: P4/mmm (123)
Crystal system: tetragonal


[8]
DFT (PBEsol) results for an optimized crystal structure of LaP2O2.

abc: 4.0814 4.0814 6.5271
angles: 90.00 90.00 90.00
Closest atoms and distances in Å follow each position.
Atoms (fractional coordinates):
P  0.5000  0.5000  0.5000  4 P 2.89
La  0.0000  0.0000  0.0000  4 O 2.04
O  0.5000  0.0000  0.0000  2 La 2.04
P  0.0000  0.0000  0.5000  4 P 2.89
O  0.0000  0.5000  0.0000  2 La 2.04

Computed properties:
SG: P4/mmm (123)
Crystal system: tetragonal
Formation energy without anion corrections: -2.0 eV per formula unit


[9]
DFT (PBEsol) results for an optimized crystal structure of CeGaPt.

abc: 4.4043 6.8877 7.7421
angles: 90.00 90.00 90.00
Closest atoms and distances in Å follow each position.
Atoms (fractional coordinates):
Pt  0.2500  0.7263  0.4064  4 Ga 2.60-2.76
Ce  0.7500  0.0143  0.2963  5 Pt 2.91-3.08, 6 Ga 3.06-3.22
Ga  0.7500  0.1741  0.9215  4 Pt 2.60-2.76
Ce  0.2500  0.4857  0.7963  5 Pt 2.91-3.08, 6 Ga 3.06-3.22
Ce  0.2500  0.9857  0.7037  5 Pt 2.91-3.08, 6 Ga 3.06-3.22
Pt  0.7500  0.2737  0.5936  4 Ga 2.60-2.76
Ga  0.2500  0.8259  0.0785  4 Pt 2.60-2.76
Pt  0.7500  0.7737  0.9064  4 Ga 2.60-2.76
Ga  0.2500  0.3259  0.4215  4 Pt 2.60-2.76
Ga  0.7500  0.6741  0.5785  4 Pt 2.60-2.76
Pt  0.2500  0.2263  0.0936  4 Ga 2.60-2.76
Ce  0.7500  0.5143  0.2037  5 Pt 2.91-3.08, 6 Ga 3.06-3.22

Computed properties:
SG: Pnma (62)
Crystal system: orthorhombic


[10]
DFT (PBEsol) results for an optimized crystal structure of BaPHCl2.

abc: 4.7245 4.6005 4.6005
angles: 90.00 90.00 90.00
Closest atoms and distances in Å follow each position.
Atoms (fractional coordinates):
P  0.5000  0.5000  0.5000  4 Ba 3.25, 8 Cl 3.30
H  0.0000  0.0000  0.0000  4 Cl 2.30, 2 Ba 2.36
Cl  0.0000  0.5000  0.0000  2 H 2.30
Cl  0.0000  0.0000  0.5000  2 H 2.30
Ba  0.5000  0.0000  0.0000  2 H 2.36

Computed properties:
SG: P4/mmm (123)
Crystal system: tetragonal


[11]
DFT (PBEsol) results for an optimized crystal structure of CrIrIO2.

abc: 3.6278 3.6278 6.1128
angles: 90.00 90.00 90.00
Closest atoms and distances in Å follow each position.
Atoms (fractional coordinates):
Cr  0.0000  0.0000  0.0000  4 O 1.81
O  0.5000  0.0000  0.0000  2 Cr 1.81
Ir  0.5000  0.5000  0.5000  4 I 2.57
O  0.0000  0.5000  0.0000  2 Cr 1.81
I  0.0000  0.0000  0.5000  4 Ir 2.57

Computed properties:
SG: P4/mmm (123)
Crystal system: tetragonal
Formation energy without anion corrections: -0.8 eV per formula unit


[12]
DFT (PBEsol) results for an optimized crystal structure of LiHg2H2.

abc: 3.8707 5.9191 5.9191
angles: 90.00 90.00 90.00
Closest atoms and distances in Å follow each position.
Atoms (fractional coordinates):
H  0.0000  0.6894  0.1894  2 Hg 1.94, 2 Li 2.15
Li  0.0000  0.5000  0.5000  4 H 2.15
Li  0.0000  0.0000  0.0000  4 H 2.15
Hg  0.5000  0.3150  0.8150  2 H 1.94
Hg  0.5000  0.8150  0.6850  2 H 1.94
H  0.0000  0.3106  0.8106  2 Hg 1.94, 2 Li 2.15
Hg  0.5000  0.6850  0.1850  2 H 1.94
H  0.0000  0.1894  0.3106  2 Hg 1.94, 2 Li 2.15
Hg  0.5000  0.1850  0.3150  2 H 1.94
H  0.0000  0.8106  0.6894  2 Hg 1.94, 2 Li 2.15

Computed properties:
SG: P4/mbm (127)
Crystal system: tetragonal


[13]
DFT (PBEsol) results for an optimized crystal structure of LaScCo2.

abc: 3.2075 3.2075 6.6753
angles: 86.04 86.04 90.15
Closest atoms and distances in Å follow each position.
Atoms (fractional coordinates):
Co  0.0261  0.0261  0.2860  4 Sc 2.66-2.69, 1 La 2.73, 1 Co 2.84
La  0.5000  0.5000  0.0000  6 Co 2.73-2.98
Sc  0.5000  0.5000  0.5000  8 Co 2.66-2.69
Co  0.9739  0.9739  0.7140  4 Sc 2.66-2.69, 1 La 2.73, 1 Co 2.84

Computed properties:
SG: C2/m (12)
Relative energy among the computed polymorphs: 33 meV/atom
Crystal system: monoclinic


[14]
DFT (PBEsol) results for an optimized crystal structure of Li7Fe7SiO16.

abc: 4.9627 4.9627 11.1174
angles: 90.00 90.00 111.56
Closest atoms and distances in Å follow each position.
Atoms (fractional coordinates):
Fe  0.0000  0.5000  0.1269  6 O 1.92-2.01
O  0.2600  0.2290  0.3777  3 Fe 1.93-2.13, 2 Li 1.97
Li  0.5000  0.5000  0.5000  6 O 1.97-2.19
O  0.2109  0.2456  0.1158  1 Si 1.82, 2 Fe 1.92-2.02, 1 Li 1.98
O  0.7400  0.7710  0.3777  3 Fe 1.93-2.13, 2 Li 1.97
Fe  0.0000  0.5000  0.6290  6 O 1.93-2.01
Li  0.0000  0.5000  0.3749  6 O 1.98-2.18
Li  0.0000  0.0000  0.7490  6 O 1.97-2.09
Si  0.0000  0.0000  0.0000  6 O 1.76-1.82
O  0.2326  0.7674  0.5000  3 Fe 1.91-2.01, 2 Li 1.98
O  0.7851  0.2149  0.0000  1 Si 1.76, 2 Li 1.95
O  0.7462  0.2554  0.2479  3 Fe 1.94-2.02, 3 Li 1.98-2.09
O  0.2538  0.7446  0.2479  3 Fe 1.94-2.02, 3 Li 1.98-2.09
Fe  0.5000  0.0000  0.3710  6 O 1.93-2.01
O  0.2290  0.2600  0.6223  3 Fe 1.93-2.13, 2 Li 1.97
O  0.7544  0.7891  0.8842  1 Si 1.82, 2 Fe 1.92-2.02, 1 Li 1.98
O  0.7674  0.2326  0.5000  3 Fe 1.91-2.01, 2 Li 1.98
O  0.2456  0.2109  0.8842  1 Si 1.82, 2 Fe 1.92-2.02, 1 Li 1.98
Fe  0.5000  0.5000  0.7645  6 O 2.02-2.13
O  0.2149  0.7851  0.0000  1 Si 1.76, 2 Li 1.95
Fe  0.5000  0.0000  0.8731  6 O 1.92-2.01
Fe  0.5000  0.5000  0.2355  6 O 2.02-2.13
O  0.7710  0.7400  0.6223  3 Fe 1.93-2.13, 2 Li 1.97
Li  0.5000  0.0000  0.1201  4 O 1.95-2.00
Fe  0.0000  0.0000  0.5000  6 O 1.91-1.93
Li  0.5000  0.0000  0.6251  6 O 1.98-2.18
Li  0.0000  0.5000  0.8799  4 O 1.95-2.00
O  0.7891  0.7544  0.1158  1 Si 1.82, 2 Fe 1.92-2.02, 1 Li 1.98
O  0.7446  0.2538  0.7521  3 Fe 1.94-2.02, 3 Li 1.98-2.09
O  0.2554  0.7462  0.7521  3 Fe 1.94-2.02, 3 Li 1.98-2.09
Li  0.0000  0.0000  0.2510  6 O 1.97-2.09

Computed properties:
SG: C222 (21)
Crystal system: orthorhombic
Formation energy without anion corrections: -51.5 eV per formula unit


Number 1: electronic total energy -24.68 eV per cell, V 19.38 A^3/atom. Number 2: electronic total energy -33.14 eV per cell, V 27.43 A^3/atom. Number 3: electronic total energy -27.90 eV per cell, V 16.80 A^3/atom. Number 4: electronic total energy -10.91 eV per cell, V 20.58 A^3/atom. Number 5: electronic total energy -13.49 eV per cell, V 30.85 A^3/atom. Number 6: electronic total energy -72.42 eV per cell, V 16.56 A^3/atom. Number 7: electronic total energy -29.60 eV per cell, V 21.06 A^3/atom. Number 8: electronic total energy -29.42 eV per cell, V 21.74 A^3/atom. Number 9: electronic total energy -79.26 eV per cell, V 19.57 A^3/atom. Number 10: electronic total energy -16.26 eV per cell, V 20.00 A^3/atom. Number 11: electronic total energy -33.12 eV per cell, V 16.09 A^3/atom. Number 12: electronic total energy -19.34 eV per cell, V 13.56 A^3/atom. Number 13: electronic total energy -27.72 eV per cell, V 17.09 A^3/atom. Number 14: electronic total energy -217.72 eV per cell, V 8.21 A^3/atom.